Below is an optimized crystal structure of YCr2Co, with properties calculated at the PBE level.

Summary:
ΔE to the lowest computed polymorph ... 0.0 meV per atom
Formation enthalpy at 0 K ... 311 meV per atom
Uncorrected energy ... -7.8933 eV per atom

a b c (Å): 3.004 3.004 7.000
angles (deg): 90.00 90.00 90.00
Last column: magnetic moment on the atom in μB.
Fractional positions:
Cr (0.000, 0.000, 0.997)  -1.21
Cr (0.500, 0.500, 0.177)  2.11
Y (0.000, 0.000, 0.510)  -0.09
Co (0.500, 0.500, 0.816)  0.98